A plane-wave DFT calculation with PBE+U was carried out for an optimized crystal structure of NaV3H6S2O14.

Computed properties:
- Space group: R-3m
- Magnetic moment: 0.231 μB/atom
- Total DFT energy (no corrections): -6.243 eV per atom
- Density of states at the Fermi level: 0.00 states/eV per cell

a b c (Å): 7.138 7.138 7.138
angles (deg): 62.39 62.39 62.39
Fractional coordinates of all 26 atoms:
Na 0.000 0.000 0.000
V 0.000 0.500 0.000
V 0.500 0.000 0.000
V 0.000 0.000 0.500
H 0.300 0.300 0.715
H 0.300 0.715 0.300
H 0.715 0.300 0.300
H 0.700 0.700 0.285
H 0.700 0.285 0.700
H 0.285 0.700 0.700
S 0.690 0.690 0.690
S 0.310 0.310 0.310
O 0.604 0.604 0.604
O 0.396 0.396 0.396
O 0.829 0.498 0.829
O 0.498 0.829 0.829
O 0.829 0.829 0.498
O 0.171 0.502 0.171
O 0.502 0.171 0.171
O 0.171 0.171 0.502
O 0.741 0.741 0.122
O 0.741 0.122 0.741
O 0.122 0.741 0.741
O 0.259 0.259 0.878
O 0.259 0.878 0.259
O 0.878 0.259 0.259